No. 1
! Sr2ScCN GGA-PBE relaxed; values from VASP
&SYSTEM
  ibrav = 0, nat = 5, ntyp = 4
/
ATOMIC_SPECIES
Sr 87.62 Sr.upf
Sc 44.96 Sc.upf
C 12.01 C.upf
N 14.01 N.upf
CELL_PARAMETERS angstrom
5.047 0.000 0.000
0.000 5.047 0.000
0.000 0.000 4.247
ATOMIC_POSITIONS angstrom
Sr 0.000 2.523 0.000
Sr 2.523 0.000 0.000
Sc 0.000 0.000 2.124
C 2.523 2.523 2.124
N 0.000 0.000 0.000
! * energy relative to the elements, uncorrected: 0.237 eV/atom
! * crystal system: tetragonal

---

No. 2
! AlTeSe2 GGA-PBE relaxed; values from VASP
&SYSTEM
  ibrav = 0, nat = 4, ntyp = 3
/
ATOMIC_SPECIES
Al 26.98 Al.upf
Te 127.60 Te.upf
Se 78.96 Se.upf
CELL_PARAMETERS angstrom
1.892 1.093 8.198
-1.892 1.093 8.198
0.000 -2.185 8.198
ATOMIC_POSITIONS angstrom
Al 0.000 0.000 0.000
Te 0.000 0.000 6.208
Se 0.000 0.000 12.530
Se 0.000 0.000 17.623
! * energy relative to the elements, uncorrected: -0.138 eV/atom
! * crystal system: trigonal

---

No. 3
! KAg3Pt GGA-PBE relaxed; values from VASP
&SYSTEM
  ibrav = 0, nat = 5, ntyp = 3
/
ATOMIC_SPECIES
K 39.10 K.upf
Ag 107.87 Ag.upf
Pt 195.08 Pt.upf
CELL_PARAMETERS angstrom
5.228 0.000 0.000
0.000 5.228 0.000
0.000 0.000 5.228
ATOMIC_POSITIONS angstrom
K 0.000 0.000 0.000
Ag 0.000 2.614 2.614
Ag 2.614 0.000 2.614
Ag 2.614 2.614 0.000
Pt 2.614 2.614 2.614
! * crystal system: cubic
! * energy of formation from the pure elements: 1.41 eV per formula unit

---

No. 4
! K5AuBr2O GGA-PBE relaxed; values from VASP
&SYSTEM
  ibrav = 0, nat = 18, ntyp = 4
/
ATOMIC_SPECIES
K 39.10 K.upf
Au 196.97 Au.upf
Br 79.90 Br.upf
O 16.00 O.upf
CELL_PARAMETERS angstrom
2.147 -10.782 0.000
2.147 10.782 0.000
0.000 0.000 12.993
ATOMIC_POSITIONS angstrom
K 0.000 0.000 0.000
K 0.000 0.000 6.497
K 2.147 7.632 9.745
K 2.147 5.851 1.564
K 2.147 5.851 4.933
K 2.147 2.493 9.745
K 2.147 -2.493 3.248
K 2.147 -5.851 8.060
K 2.147 -5.851 11.429
K 2.147 -7.632 3.248
Au 2.147 10.648 3.248
Au 2.147 -10.648 9.745
Br 2.147 2.738 0.302
Br 2.147 2.738 6.195
Br 2.147 -2.738 6.798
Br 2.147 -2.738 12.691
O 2.147 5.052 9.745
O 2.147 -5.052 3.248
! * energy relative to the elements, uncorrected: -1.141 eV/atom
! * crystal system: orthorhombic

---

Computed raw total energy, in the same sequence as the records: -26.06; -14.41; -14.28; -54.67 eV for the cell shown.
Computed calculated volume, in the same sequence as the records: 21.6; 25.4; 28.6; 33.4 Å³ per atom.
Computed total magnetization, in the same sequence as the records: 0.0; 0.0; 0.0; 0.1 μB/f.u..